Entry 1:
Compound: Ho2GaSe4
Source: the Alexandria database
Functional: PBE-GGA
Structure: relaxed

Cell lengths 6.2798, 6.2798, 12.0547 Å; angles 90.00, 90.00, 90.00 degrees
Space group I-42m (No. 121)
Unique sites:
Ho: 0.0000 0.5000 0.2500 [4 per cell]
Ga: 0.0000 0.0000 0.0000 [2 per cell]
Se: 0.2459 0.2459 0.1175 [8 per cell]

Values from the calculation:
* formation energy without anion corrections: -1.1538 eV per atom
* final energy: -4.885 eV per atom

=====

Entry 2:
Compound: LiNbCd
Source: the Alexandria database
Functional: PBE-GGA
Structure: relaxed

Cell lengths 4.7838, 4.7838, 5.7148 Å; angles 90.00, 90.00, 120.00 degrees
Space group P6_3/mmc (No. 194)
Unique sites:
Li: 0.0000 0.0000 0.0000 [2 per cell]
Nb: 0.3333 0.6667 0.2500 [2 per cell]
Cd: 0.3333 0.6667 0.7500 [2 per cell]

Values from the calculation:
* energy above the most stable polymorph in this dataset: 451 meV per atom
* DFT formation energy: 0.484 eV per atom
* final energy: -3.815 eV per atom

=====

Entry 3:
Compound: MgReHg2
Source: the Alexandria database
Functional: PBE-GGA
Structure: relaxed

Cell lengths 3.1676, 4.9974, 9.6321 Å; angles 90.00, 90.00, 90.00 degrees
Space group Cmmm (No. 65)
Unique sites:
Mg: 0.0000 0.0000 0.0000 [2 per cell]
Re: 0.0000 0.0000 0.5000 [2 per cell]
Hg: 0.0000 0.5000 0.2492 [4 per cell]

Values from the calculation:
* DFT formation energy: 0.584 eV per atom
* final energy: -3.078 eV per atom

=====

Entry 4:
Compound: Zn3TcBr9
Source: the Alexandria database
Functional: PBE-GGA
Structure: relaxed

Cell lengths 17.7398, 9.2689, 13.0053 Å; angles 90.00, 128.16, 90.00 degrees
Space group Cc (No. 9)
Unique sites:
Zn: 0.0000 0.0469 0.0000 [4 per cell]
Zn: 0.1431 0.4186 0.9502 [4 per cell]
Zn: 0.3922 0.1089 0.5897 [4 per cell]
Tc: 0.2658 0.2250 0.7700 [4 per cell]
Br: 0.0266 0.2230 0.8848 [4 per cell]
Br: 0.0614 0.3934 0.2821 [4 per cell]
Br: 0.1184 0.0789 0.7063 [4 per cell]
Br: 0.1683 0.4512 0.6392 [4 per cell]
Br: 0.2503 0.1030 0.5804 [4 per cell]
Br: 0.2788 0.3059 0.9723 [4 per cell]
Br: 0.3782 0.0184 0.9117 [4 per cell]
Br: 0.3783 0.3577 0.5120 [4 per cell]
Br: 0.4159 0.3543 0.8319 [4 per cell]

Values from the calculation:
* formation energy without anion corrections: -0.6103 eV per atom
* final energy: -2.860 eV per atom

=====

Entry 5:
Compound: PmFe3C
Source: the Alexandria database
Functional: PBE-GGA
Structure: relaxed

Cell lengths 3.9856, 3.9856, 3.9856 Å; angles 90.00, 90.00, 90.00 degrees
Space group Pm-3m (No. 221)
Unique sites:
Pm: 0.0000 0.0000 0.0000 [1 per cell]
Fe: 0.0000 0.5000 0.5000 [3 per cell]
C: 0.5000 0.5000 0.5000 [1 per cell]

Values from the calculation:
* DFT formation energy: 0.142 eV per atom
* final energy: -7.731 eV per atom

=====

Entry 6:
Compound: Li3Pa3AuSe8
Source: the Alexandria database
Functional: PBE-GGA
Structure: relaxed

Cell lengths 13.5106, 8.3977, 8.0046 Å; angles 90.00, 125.02, 90.00 degrees
Space group C2/m (No. 12)
Unique sites:
Li: 0.0000 0.0000 0.0000 [2 per cell]
Li: 0.2500 0.2500 0.0000 [4 per cell]
Pa: 0.0000 0.5000 0.5000 [2 per cell]
Pa: 0.2500 0.2500 0.5000 [4 per cell]
Au: 0.0000 0.0000 0.5000 [2 per cell]
Se: 0.0014 0.2736 0.7637 [8 per cell]
Se: 0.2357 0.0000 0.7342 [4 per cell]
Se: 0.2393 0.0000 0.2385 [4 per cell]

Values from the calculation:
* formation energy without anion corrections: -1.1066 eV per atom
* final energy: -5.465 eV per atom

=====

Entry 7:
Compound: TbNpS3
Source: the Alexandria database
Functional: PBE-GGA
Structure: relaxed

Cell lengths 5.4048, 10.0854, 8.3774 Å; angles 90.00, 90.00, 90.00 degrees
Space group Imma (No. 74)
Unique sites:
Tb: 0.0000 0.0000 0.0000 [4 per cell]
Np: 0.0000 0.2500 0.4461 [4 per cell]
S: 0.0000 0.0484 0.6616 [8 per cell]
S: 0.0000 0.2500 0.1059 [4 per cell]

Values from the calculation:
* energy above the most stable polymorph in this dataset: 275 meV per atom
* formation energy without anion corrections: -1.4708 eV per atom
* final energy: -7.461 eV per atom

=====

Entry 8:
Compound: KBaCo2
Source: the Alexandria database
Functional: PBE-GGA
Structure: relaxed

Cell lengths 7.3744, 8.2044, 3.8720 Å; angles 90.00, 90.00, 90.00 degrees
Space group Cmmm (No. 65)
Unique sites:
K: 0.0000 0.0000 0.0000 [2 per cell]
Ba: 0.0000 0.5000 0.0000 [2 per cell]
Co: 0.2500 0.2500 0.5000 [4 per cell]

Values from the calculation:
* energy above the most stable polymorph in this dataset: 692 meV per atom
* DFT formation energy: 1.101 eV per atom
* final energy: -3.207 eV per atom

=====

Entry 9:
Compound: Pa6SiN12
Source: the Alexandria database
Functional: PBE-GGA
Structure: relaxed

Cell lengths 9.9091, 9.9091, 9.2974 Å; angles 90.00, 90.00, 120.00 degrees
Space group R-3 (No. 148, hexagonal axes)
Unique sites:
Pa: 0.0518 0.7953 0.1604 [18 per cell]
Si: 0.0000 0.0000 0.5000 [3 per cell]
N: 0.0336 0.8047 0.9039 [18 per cell]
N: 0.0420 0.8505 0.3963 [18 per cell]

Values from the calculation:
* formation energy without anion corrections: -1.3454 eV per atom
* final energy: -9.888 eV per atom

=====

Entry 10:
Compound: Er4TmTe5
Source: the Alexandria database
Functional: PBE-GGA
Structure: relaxed

Cell lengths 4.2348, 4.2348, 31.9130 Å; angles 90.00, 90.00, 90.00 degrees
Space group I4/mmm (No. 139)
Unique sites:
Er: 0.0000 0.0000 0.1116 [4 per cell]
Er: 0.0000 0.0000 0.3127 [4 per cell]
Tm: 0.0000 0.0000 0.5000 [2 per cell]
Te: 0.0000 0.0000 0.0000 [2 per cell]
Te: 0.0000 0.0000 0.2084 [4 per cell]
Te: 0.0000 0.0000 0.4067 [4 per cell]

Values from the calculation:
* energy above the most stable polymorph in this dataset: 0 meV per atom
* formation energy without anion corrections: -1.2072 eV per atom
* final energy: -5.050 eV per atom

=====

Entry 11:
Compound: SrSe2S2
Source: the Alexandria database
Functional: PBE-GGA
Structure: relaxed

Cell lengths 8.0484, 8.0484, 4.1721 Å; angles 90.00, 90.00, 90.00 degrees
Space group P4/mbm (No. 127)
Unique sites:
Sr: 0.0000 0.0000 0.0000 [2 per cell]
Se: 0.2340 0.2660 0.5000 [4 per cell]
S: 0.1646 0.6646 0.0000 [4 per cell]

Values from the calculation:
* formation energy without anion corrections: -0.6262 eV per atom
* final energy: -4.007 eV per atom

=====

Entry 12:
Compound: BiMoP2S
Source: the Alexandria database
Functional: PBE-GGA
Structure: relaxed

Cell lengths 4.8966, 4.8966, 4.4904 Å; angles 90.00, 90.00, 90.00 degrees
Space group P4/mmm (No. 123)
Unique sites:
Bi: 0.0000 0.0000 0.0000 [1 per cell]
Mo: 0.5000 0.5000 0.5000 [1 per cell]
P: 0.0000 0.5000 0.5000 [2 per cell]
S: 0.5000 0.5000 0.0000 [1 per cell]

Values from the calculation:
* energy above the most stable polymorph in this dataset: 0 meV per atom
* formation energy without anion corrections: 0.3485 eV per atom
* final energy: -5.583 eV per atom

=====

no.,density of states at the Fermi level (states/eV per atom),magnetization (μB per formula unit)
1,0.66,0.0
2,0.28,0.0
3,0.53,0.0
4,0.18,2.0
5,1.35,3.0
6,1.00,3.0
7,1.42,3.9
8,1.57,3.2
9,0.75,0.0
10,0.37,0.0
11,0.20,0.0
12,0.98,0.0